No. 1
Entry from Alexandria: KTlPb2Se4 after structural relaxation (PBE).

Cell: 8.6246 8.9718 12.3495 Å, 90.00 90.00 90.00°
Space group Imma (No. 74)
One atom of each set of equivalent atoms:
K 0.2500 0.2500 0.2500
Tl 0.0000 0.0000 0.0000
Pb 0.0000 0.0000 0.5000
Pb 0.2500 0.2500 0.7500
Se 0.0000 0.0157 0.7497
Se 0.2473 0.2500 0.5064

Computed properties:
The calculation puts the raw formation energy at -0.518 eV per atom. Its final energy is -3.62 eV/atom.

---

No. 2
Entry from Alexandria: ZrTa2Cd after structural relaxation (PBE).

Cell: 4.1626 4.1626 9.2027 Å, 90.00 90.00 90.00°
Space group I4/mmm (No. 139)
One atom of each set of equivalent atoms:
Zr 0.0000 0.0000 0.0000
Ta 0.0000 0.5000 0.2500
Cd 0.0000 0.0000 0.5000

Computed properties:
As for the formation energy: 81 kJ/mol of formula units. Its final energy is -8.08 eV/atom.

---

No. 3
Entry from Alexandria: Cs2Th2AgTe6 after structural relaxation (PBE).

Cell: 7.7346 13.7056 9.5820 Å, 90.00 105.41 90.00°
Space group C2/m (No. 12)
One atom of each set of equivalent atoms:
Cs 0.0000 0.1612 0.0000
Th 0.0000 0.3309 0.5000
Ag 0.0000 0.0000 0.5000
Te 0.2374 0.1697 0.6952
Te 0.2491 0.5000 0.6741

Computed properties:
The calculation puts the raw formation energy at -0.948 eV per atom. Its final energy is -4.42 eV/atom.

---

No. 4
Entry from Alexandria: ZrScPb2 after structural relaxation (PBE).

Cell: 3.3397 3.3397 8.6972 Å, 90.00 90.00 90.00°
Space group P4/mmm (No. 123)
One atom of each set of equivalent atoms:
Zr 0.0000 0.0000 0.0000
Sc 0.0000 0.0000 0.5000
Pb 0.5000 0.5000 0.2516

Computed properties:
As for the formation energy: -79 kJ/mol of formula units. The polymorph energy (0 for the lowest one) comes out at 23 kJ/mol of formula units. Its final energy is -5.78 eV/atom.

---

No. 5
Entry from Alexandria: ScTc2Ni after structural relaxation (PBE).

Cell: 2.6305 3.9920 5.7799 Å, 90.00 90.00 90.00°
Space group Pmmm (No. 47)
One atom of each set of equivalent atoms:
Sc 0.0000 0.0000 0.0000
Tc 0.5000 0.5000 0.2830
Ni 0.0000 0.0000 0.5000

Computed properties:
As for the formation energy: 55 kJ/mol of formula units. The polymorph energy (0 for the lowest one) comes out at 103 kJ/mol of formula units. Its final energy is -8.07 eV/atom.

---

No. 6
Entry from Alexandria: Pm2SiP after structural relaxation (PBE).

Cell: 4.0749 4.0749 21.4518 Å, 90.00 90.00 120.00°
Space group R-3m (No. 166, hexagonal axes)
One atom of each set of equivalent atoms:
Pm 0.0000 0.0000 0.2451
Si 0.0000 0.0000 0.0000
P 0.0000 0.0000 0.5000

Computed properties:
The polymorph energy (0 for the lowest one) comes out at 64 kJ/mol of formula units. The calculation puts the raw formation energy at -1.003 eV per atom. Its final energy is -6.09 eV/atom.

---

No. 7
Entry from Alexandria: AlZnSe after structural relaxation (PBE).

Cell: 3.3195 3.3195 10.8604 Å, 90.00 90.00 90.00°
Space group I4mm (No. 107)
One atom of each set of equivalent atoms:
Al 0.0000 0.0000 0.0000
Zn 0.0000 0.0000 0.6724
Se 0.0000 0.0000 0.3904

Computed properties:
The polymorph energy (0 for the lowest one) comes out at 73 kJ/mol of formula units. The calculation puts the raw formation energy at 0.000 eV per atom. Its final energy is -2.83 eV/atom.

---

No. 8
Entry from Alexandria: PbS3Cl after structural relaxation (PBE).

Cell: 3.9842 9.4828 8.9349 Å, 90.00 90.00 90.00°
Space group Pmmn (No. 59, origin choice 2)
One atom of each set of equivalent atoms:
Pb 0.2500 0.2500 0.1334
S 0.2500 0.5832 0.0965
S 0.2500 0.7500 0.2385
Cl 0.2500 0.7500 0.6527

Computed properties:
The polymorph energy (0 for the lowest one) comes out at 0 kJ/mol of formula units. The calculation puts the raw formation energy at -0.290 eV per atom. Its final energy is -3.88 eV/atom.

---

Which calculated density belongs to each record? In order, 6.768; 11.778; 5.438; 9.425; 8.198; 5.637; 4.755; 3.334 Mg/m³.